SbAs3, relaxed, DFT PBE; size of the total moment = 0.000 μB/cell; N(E_F) = 1.297 states/eV/atom; SG = Fm-3m, No. 225; energy = -65.7 eV for the cell shown; crystal system = cubic; E_form (uncorrected) = 0.41 eV per atom; offset from the most stable computed form = 0.405 eV/atom
1.0
6.962 0.000 0.000
0.000 6.962 0.000
0.000 0.000 6.962
Sb As
4 12
Direct
0.000 0.000 0.000 Sb
0.000 0.500 0.500 Sb
0.500 0.000 0.500 Sb
0.500 0.500 0.000 Sb
0.000 0.000 0.500 As
0.000 0.500 0.000 As
0.250 0.250 0.250 As
0.250 0.250 0.750 As
0.250 0.750 0.250 As
0.250 0.750 0.750 As
0.500 0.000 0.000 As
0.500 0.500 0.500 As
0.750 0.250 0.250 As
0.750 0.250 0.750 As
0.750 0.750 0.250 As
0.750 0.750 0.750 As


SbAs, relaxed, DFT PBE; size of the total moment = 0.000 μB/cell; N(E_F) = 0.120 states/eV/atom; SG = P6_3/m, No. 176; energy = -50.8 eV for the cell shown; crystal system = hexagonal; E_form (uncorrected) = 0.15 eV per atom; offset from the most stable computed form = 0.165 eV/atom
1.0
8.849 0.000 0.000
-4.424 7.663 0.000
0.000 0.000 5.917
Sb As
6 6
Direct
0.025 0.664 0.250 Sb
0.336 0.361 0.250 Sb
0.361 0.025 0.750 Sb
0.639 0.975 0.250 Sb
0.664 0.639 0.750 Sb
0.975 0.336 0.750 Sb
0.035 0.364 0.250 As
0.329 0.965 0.250 As
0.364 0.329 0.750 As
0.636 0.671 0.250 As
0.671 0.035 0.750 As
0.965 0.636 0.750 As


Sb8As, relaxed, DFT PBE; size of the total moment = 0.000 μB/cell; N(E_F) = 0.575 states/eV/atom; SG = I4/mmm, No. 139; energy = -34.7 eV for the cell shown; crystal system = tetragonal; E_form (uncorrected) = 0.32 eV per atom
1.0
-4.725 4.725 2.764
4.725 -4.725 2.764
4.725 4.725 -2.764
Sb As
8 1
Direct
0.000 0.308 0.308 Sb
0.000 0.692 0.692 Sb
0.308 0.000 0.308 Sb
0.327 0.327 0.655 Sb
0.327 0.673 0.000 Sb
0.673 0.327 0.000 Sb
0.673 0.673 0.345 Sb
0.692 0.000 0.692 Sb
0.000 0.000 0.000 As


Sb3As4, relaxed, DFT PBE; size of the total moment = 0.000 μB/cell; N(E_F) = 0.739 states/eV/atom; SG = P6/mmm, No. 191; energy = -27.4 eV for the cell shown; crystal system = hexagonal; E_form (uncorrected) = 0.51 eV per atom
1.0
6.591 0.000 0.000
-3.296 5.708 0.000
0.000 0.000 4.737
Sb As
3 4
Direct
0.000 0.500 0.000 Sb
0.500 0.000 0.000 Sb
0.500 0.500 0.000 Sb
0.000 0.000 0.257 As
0.000 0.000 0.743 As
0.333 0.667 0.500 As
0.667 0.333 0.500 As


Sb3As, relaxed, DFT PBE; size of the total moment = 0.000 μB/cell; N(E_F) = 0.484 states/eV/atom; SG = Cmcm, No. 63; energy = -65.3 eV for the cell shown; crystal system = orthorhombic; E_form (uncorrected) = 0.17 eV per atom; offset from the most stable computed form = 0.146 eV/atom
1.0
10.579 0.000 0.000
0.000 11.616 0.000
0.000 0.000 3.851
Sb As
12 4
Direct
0.000 0.103 0.250 Sb
0.000 0.897 0.750 Sb
0.231 0.154 0.750 Sb
0.231 0.846 0.250 Sb
0.269 0.346 0.250 Sb
0.269 0.654 0.750 Sb
0.500 0.397 0.750 Sb
0.500 0.603 0.250 Sb
0.731 0.346 0.250 Sb
0.731 0.654 0.750 Sb
0.769 0.154 0.750 Sb
0.769 0.846 0.250 Sb
0.000 0.426 0.250 As
0.000 0.574 0.750 As
0.500 0.074 0.750 As
0.500 0.926 0.250 As


Sb5As, relaxed, DFT PBE; size of the total moment = 0.000 μB/cell; N(E_F) = 0.428 states/eV/atom; SG = P-62m, No. 189; energy = -23.4 eV for the cell shown; crystal system = hexagonal; E_form (uncorrected) = 0.30 eV per atom; offset from the most stable computed form = 0.111 eV/atom
1.0
5.844 0.000 0.000
-2.922 5.061 0.000
0.000 0.000 5.320
Sb As
5 1
Direct
0.000 0.702 0.000 Sb
0.298 0.298 0.000 Sb
0.333 0.667 0.500 Sb
0.667 0.333 0.500 Sb
0.702 0.000 0.000 Sb
0.000 0.000 0.500 As


Sb4As5, relaxed, DFT PBE; size of the total moment = 0.000 μB/cell; N(E_F) = 0.737 states/eV/atom; SG = P6_3/mcm, No. 193; energy = -73.5 eV for the cell shown; crystal system = hexagonal; E_form (uncorrected) = 0.33 eV per atom; offset from the most stable computed form = 0.038 eV/atom
1.0
9.044 0.000 0.000
-4.522 7.832 0.000
0.000 0.000 5.859
Sb As
8 10
Direct
0.000 0.000 0.000 Sb
0.000 0.000 0.500 Sb
0.000 0.370 0.250 Sb
0.000 0.630 0.750 Sb
0.370 0.000 0.250 Sb
0.370 0.370 0.750 Sb
0.630 0.000 0.750 Sb
0.630 0.630 0.250 Sb
0.000 0.279 0.750 As
0.000 0.721 0.250 As
0.279 0.000 0.750 As
0.279 0.279 0.250 As
0.333 0.667 0.000 As
0.333 0.667 0.500 As
0.667 0.333 0.000 As
0.667 0.333 0.500 As
0.721 0.000 0.250 As
0.721 0.721 0.750 As


SbAs3, relaxed, DFT PBE; size of the total moment = 0.000 μB/cell; N(E_F) = 0.383 states/eV/atom; SG = P2/m, No. 10; energy = -17.7 eV for the cell shown; crystal system = monoclinic; E_form (uncorrected) = 0.09 eV per atom; offset from the most stable computed form = 0.088 eV/atom
1.0
4.914 0.000 0.000
0.000 4.006 0.000
-1.626 0.000 4.701
Sb As
1 3
Direct
0.000 0.000 0.000 Sb
0.234 0.500 0.711 As
0.500 0.000 0.500 As
0.766 0.500 0.289 As


Sb5As, relaxed, DFT PBE; size of the total moment = 0.010 μB/cell; N(E_F) = 0.580 states/eV/atom; SG = P6/mmm, No. 191; energy = -22.1 eV for the cell shown; crystal system = hexagonal; E_form (uncorrected) = 0.53 eV per atom; offset from the most stable computed form = 0.332 eV/atom
1.0
5.973 0.000 0.000
-2.986 5.172 0.000
0.000 0.000 5.658
Sb As
5 1
Direct
0.000 0.500 0.000 Sb
0.333 0.667 0.500 Sb
0.500 0.000 0.000 Sb
0.500 0.500 0.000 Sb
0.667 0.333 0.500 Sb
0.000 0.000 0.500 As


SbAs2, relaxed, DFT PBE; size of the total moment = 0.000 μB/cell; N(E_F) = 0.365 states/eV/atom; SG = Pnnm, No. 58; energy = -26.2 eV for the cell shown; crystal system = orthorhombic; E_form (uncorrected) = 0.11 eV per atom; offset from the most stable computed form = 0.087 eV/atom
1.0
5.449 0.000 0.000
0.000 6.869 0.000
0.000 0.000 4.362
Sb As
2 4
Direct
0.000 0.000 0.000 Sb
0.500 0.500 0.500 Sb
0.177 0.395 0.000 As
0.323 0.895 0.500 As
0.677 0.105 0.500 As
0.823 0.605 0.000 As


SbAs2, relaxed, DFT PBE; size of the total moment = 0.000 μB/cell; N(E_F) = 0.404 states/eV/atom; SG = P4/mmm, No. 123; energy = -12.5 eV for the cell shown; crystal system = tetragonal; E_form (uncorrected) = 0.29 eV per atom; offset from the most stable computed form = 0.268 eV/atom
1.0
4.002 0.000 0.000
0.000 4.002 0.000
0.000 0.000 4.641
Sb As
1 2
Direct
0.000 0.000 0.000 Sb
0.000 0.500 0.500 As
0.500 0.000 0.500 As


SbAs2, relaxed, DFT PBE; size of the total moment = 0.000 μB/cell; N(E_F) = 0.619 states/eV/atom; SG = I4/mcm, No. 140; energy = -51.4 eV for the cell shown; crystal system = tetragonal; E_form (uncorrected) = 0.19 eV per atom; offset from the most stable computed form = 0.165 eV/atom
1.0
6.121 0.000 0.000
0.000 6.121 0.000
0.000 0.000 7.616
Sb As
4 8
Direct
0.000 0.000 0.250 Sb
0.000 0.000 0.750 Sb
0.500 0.500 0.250 Sb
0.500 0.500 0.750 Sb
0.141 0.359 0.000 As
0.141 0.641 0.500 As
0.359 0.141 0.500 As
0.359 0.859 0.000 As
0.641 0.141 0.000 As
0.641 0.859 0.500 As
0.859 0.359 0.500 As
0.859 0.641 0.000 As